(1)
# Ce3In (PBE-GGA, relaxed)
# * raw total energy: -5.322 eV/atom
# * energy of formation: -0.187 eV/atom
# * offset from the most stable computed form: 0.007 eV per atom
data_Ce3In
_space_group_name_H-M_alt 'I 4/m m m'
_space_group_IT_number 139
_space_group_name_Hall '-I 4 2'
_cell_length_a 4.7527
_cell_length_b 4.7527
_cell_length_c 9.6955
_cell_angle_alpha 90.00
_cell_angle_beta 90.00
_cell_angle_gamma 90.00
loop_
_atom_site_label
_atom_site_type_symbol
_atom_site_fract_x
_atom_site_fract_y
_atom_site_fract_z
_atom_site_occupancy
Ce1 Ce 0.0000 0.0000 0.0000 1
Ce2 Ce 0.0000 0.5000 0.2500 1
In1 In 0.0000 0.0000 0.5000 1



(2)
# AcTePbO5 (PBE-GGA, relaxed)
# * raw formation energy: -1.6872 eV/atom
# * raw total energy: -6.156 eV/atom
data_AcTePbO5
_space_group_name_H-M_alt 'C 1 2/c 1'
_space_group_IT_number 15
_cell_length_a 8.1071
_cell_length_b 11.3008
_cell_length_c 7.8328
_cell_angle_alpha 90.00
_cell_angle_beta 114.46
_cell_angle_gamma 90.00
loop_
_space_group_symop_operation_xyz
'x,y,z'
'-x,-y,-z'
'-x,y,-z+1/2'
'x,-y,z+1/2'
'x+1/2,y+1/2,z'
'-x+1/2,-y+1/2,-z'
'-x+1/2,y+1/2,-z+1/2'
'x+1/2,-y+1/2,z+1/2'
loop_
_atom_site_label
_atom_site_type_symbol
_atom_site_fract_x
_atom_site_fract_y
_atom_site_fract_z
_atom_site_occupancy
Ac1 Ac 0.2500 0.2500 0.0000 1
Te1 Te 0.0000 0.0338 0.2500 1
Pb1 Pb 0.0000 0.4692 0.2500 1
O1 O 0.0000 0.3399 0.7500 1
O2 O 0.0184 0.1408 0.0753 1
O3 O 0.2408 0.4732 0.1145 1



(3)
# MnHRu2 (PBE-GGA, relaxed)
# * raw total energy: -7.458 eV/atom
# * offset from the most stable computed form: 0.223 eV per atom
data_MnHRu2
_space_group_name_H-M_alt 'P 4/m m m'
_space_group_IT_number 123
_space_group_name_Hall '-P 4 2'
_cell_length_a 2.6900
_cell_length_b 2.6900
_cell_length_c 5.8598
_cell_angle_alpha 90.00
_cell_angle_beta 90.00
_cell_angle_gamma 90.00
loop_
_atom_site_label
_atom_site_type_symbol
_atom_site_fract_x
_atom_site_fract_y
_atom_site_fract_z
_atom_site_occupancy
Mn1 Mn 0.0000 0.0000 0.0000 1
H1 H 0.0000 0.0000 0.5000 1
Ru1 Ru 0.5000 0.5000 0.2864 1



(4)
# ReNiOs2 (PBE-GGA, relaxed)
# * raw total energy: -10.039 eV/atom
# * energy of formation: 0.133 eV/atom
# * offset from the most stable computed form: 0.031 eV per atom
data_ReNiOs2
_space_group_name_H-M_alt 'R -3 m'
_space_group_IT_number 166
_space_group_name_Hall '-R 3 2"'
_cell_length_a 2.7158
_cell_length_b 2.7158
_cell_length_c 26.1312
_cell_angle_alpha 90.00
_cell_angle_beta 90.00
_cell_angle_gamma 120.00
loop_
_atom_site_label
_atom_site_type_symbol
_atom_site_fract_x
_atom_site_fract_y
_atom_site_fract_z
_atom_site_occupancy
Re1 Re 0.0000 0.0000 0.0000 1
Ni1 Ni 0.0000 0.0000 0.5000 1
Os1 Os 0.0000 0.0000 0.2480 1



| no. | N(E_F) (states/eV/f.u.) | total magnetization (μB per formula unit) | ρ (g/cm³) |
| --- | --- | --- | --- |
| 1 | 12.18 | 2.6 | 8.1 |
| 2 | 2.60 | 0.7 | 6.5 |
| 3 | 3.02 | 0.4 | 10.1 |
| 4 | 5.02 | 0.4 | 18.7 |